[1]
Entry from OQMD via LeMat-Bulk: PrNd3N2Cl2 after structural relaxation (PBE-GGA).

a b c (Å): 3.6816 3.6816 14.1325
angles (deg): 90.00 90.00 120.00
Space group P3m1 (No. 156)
Asymmetric unit:
Pr (0.0000, 0.0000, 0.0000) (multiplicity 1)
Nd (0.0000, 0.0000, 0.3104) (multiplicity 1)
Nd (0.6667, 0.3333, 0.4985) (multiplicity 1)
Nd (0.6667, 0.3333, 0.8100) (multiplicity 1)
N (0.3333, 0.6667, 0.4045) (multiplicity 1)
N (0.3333, 0.6667, 0.9009) (multiplicity 1)
Cl (0.0000, 0.0000, 0.6541) (multiplicity 1)
Cl (0.6667, 0.3333, 0.1568) (multiplicity 1)

Calculated values
- Calculated total energy: -6.47 eV per atom
- Spin magnetization: 0.00 μB/atom

[2]
Entry from OQMD via LeMat-Bulk: Nd4S3NCl3 after structural relaxation (PBE-GGA).

a b c (Å): 9.3544 9.3544 6.8688
angles (deg): 90.00 90.00 120.00
Space group P6_3mc (No. 186)
Asymmetric unit:
Nd (0.2020, 0.4040, 0.0000) (multiplicity 6)
Nd (0.3333, 0.6667, 0.5343) (multiplicity 2)
S (0.0649, 0.5325, 0.2781) (multiplicity 6)
N (0.3333, 0.6667, 0.8793) (multiplicity 2)
Cl (0.1313, 0.2625, 0.6103) (multiplicity 6)

Calculated values
- Calculated total energy: -6.20 eV per atom
- Spin magnetization: 0.00 μB/atom

[3]
Entry from OQMD via LeMat-Bulk: Nd2Sm2NCl5 after structural relaxation (PBE-GGA).

a b c (Å): 17.324 3.778 8.028
angles (deg): 90.00 104.31 90.00
Space group C2/m (No. 12)
Asymmetric unit:
Nd (0.001, 0.000, 0.290) (multiplicity 4)
Sm (0.144, 0.500, 0.581) (multiplicity 4)
N (0.000, 0.500, 0.500) (multiplicity 2)
Cl (0.000, 0.500, 0.000) (multiplicity 2)
Cl (0.166, 0.000, 0.843) (multiplicity 4)
Cl (0.173, 0.000, 0.340) (multiplicity 4)

Calculated values
- Calculated total energy: -5.53 eV per atom
- Spin magnetization: 0.00 μB/atom